Run 1
BAsSN2 after structural relaxation, computed with PBE.

Computed properties:
mass density: 3.16 g cm⁻³
symmetry: P4/mmm (123)

Cell lengths 3.2555, 3.2555, 7.2187 Å; angles 90.00, 90.00, 90.00 degrees
Last column: magnetic moment on the atom in μB.
Element x y z (fractional)
N1 0.0000 0.5000 0.0000  0.14
As1 0.5000 0.5000 0.5000  0.16
B1 0.0000 0.0000 0.0000  -0.02
N2 0.5000 0.0000 0.0000  0.14
S1 0.0000 0.0000 0.5000  0.02


Run 2
BAsSN2 after structural relaxation, computed with PBE.

Computed properties:
mass density: 3.05 g cm⁻³
symmetry: P4/mmm (123)

Cell lengths 3.4998, 3.4998, 6.4781 Å; angles 90.00, 90.00, 90.00 degrees
Last column: magnetic moment on the atom in μB.
Element x y z (fractional)
N1 0.5000 0.0000 0.0000  0.22
S1 0.0000 0.0000 0.5000  0.00
B1 0.5000 0.5000 0.5000  0.00
N2 0.0000 0.5000 0.0000  0.22
As1 0.0000 0.0000 0.0000  -0.03


Which of them is the most stable? Correct choice: run 1.


Run 1
SrCdIn4 after structural relaxation, computed with PBE.

Computed properties:
mass density: 6.45 g cm⁻³
symmetry: Cmcm (63)

Cell lengths 4.7954, 7.6981, 9.4997 Å; angles 90.00, 104.62, 90.00 degrees
Element x y z (fractional)
In1 0.6706 0.9469 0.3413
In2 0.0648 0.7500 0.1297
In3 0.3294 0.0531 0.6587
Cd1 0.7697 0.2500 0.5393
In4 0.6706 0.5531 0.3413
In5 0.5000 0.5000 0.0000
Sr1 0.1206 0.2500 0.2412
In6 0.5000 0.0000 0.0000
Cd2 0.2303 0.7500 0.4607
In7 0.9352 0.2500 0.8703
Sr2 0.8794 0.7500 0.7588
In8 0.3294 0.4469 0.6587


Run 2
SrCdIn4 after structural relaxation, computed with PBE.

Computed properties:
mass density: 6.25 g cm⁻³
symmetry: F-43m (216)

Cell lengths 6.2818, 6.2818, 6.2818 Å; angles 60.00, 60.00, 60.00 degrees
Element x y z (fractional)
Cd1 0.0000 0.0000 0.0000
In1 0.6253 0.6253 0.6253
In2 0.6253 0.1242 0.6253
In3 0.1242 0.6253 0.6253
Sr1 0.2500 0.2500 0.2500
In4 0.6253 0.6253 0.1242


Which of them is the most stable? Correct choice: run 1.


Run 1
YP2Br after structural relaxation, computed with PBE.

Computed properties:
mass density: 4.70 g cm⁻³
symmetry: I4/mmm (139)

Cell lengths 5.9793, 5.9793, 5.9793 Å; angles 141.69, 141.69, 55.29 degrees
Element x y z (fractional)
Br1 0.7500 0.2500 0.5000
Y1 0.2500 0.7500 0.5000
P1 0.5000 0.5000 0.0000
P2 0.0000 0.0000 0.0000


Run 2
YP2Br after structural relaxation, computed with PBE.

Computed properties:
mass density: 4.06 g cm⁻³
symmetry: P4mm (99)

Cell lengths 3.4078, 3.4078, 8.1294 Å; angles 90.00, 90.00, 89.99 degrees
Last column: magnetic moment on the atom in μB.
Element x y z (fractional)
P1 0.0000 0.0000 0.1326  0.00
P2 0.5000 0.5000 0.2247  0.00
Y1 0.0000 0.0000 0.4626  0.07
Br1 0.5000 0.5000 0.6801  0.00


Which of them is the most stable? Correct choice: run 2.


Run 1
LiTlMo2 after structural relaxation, computed with PBE.

Computed properties:
mass density: 9.45 g cm⁻³
symmetry: Cmmm (65)

Cell lengths 2.7769, 2.7769, 9.5444 Å; angles 90.00, 90.00, 105.72 degrees
Element x y z (fractional)
Mo1 0.0000 0.0000 0.9940
Tl1 0.5000 0.5000 0.2500
Mo2 0.0000 0.0000 0.5060
Li1 0.5000 0.5000 0.7500


Run 2
LiTlMo2 after structural relaxation, computed with PBE.

Computed properties:
mass density: 10.06 g cm⁻³
symmetry: C2/m (12)

Cell lengths 5.3849, 5.3849, 4.1255 Å; angles 68.82, 68.82, 37.00 degrees
Element x y z (fractional)
Li1 0.2500 0.2500 0.2500
Mo1 0.5059 0.5059 0.4781
Mo2 0.9941 0.9941 0.0219
Tl1 0.7500 0.7500 0.7500


Which of them is the most stable? Correct choice: run 2.


Run 1
BC2 after structural relaxation, computed with PBE.

Computed properties:
mass density: 3.02 g cm⁻³
symmetry: Cm (8)

Cell lengths 6.1441, 6.1441, 5.2398 Å; angles 102.22, 102.22, 23.39 degrees
Element x y z (fractional)
B1 0.3213 0.3213 0.1573
C1 0.0053 0.0053 0.5166
C2 0.2497 0.2497 0.3799
C3 0.5804 0.5804 0.5513
C4 0.9302 0.9302 0.7176
B2 0.6592 0.6592 0.3301
B3 0.9334 0.9334 0.2155
C5 0.5817 0.5817 0.0311
B4 0.3286 0.3286 0.6651
C6 0.2382 0.2382 0.8668
C7 0.6652 0.6652 0.8295
C8 0.0067 0.0067 0.9891


Run 2
BC2 after structural relaxation, computed with PBE.

Computed properties:
mass density: 3.03 g cm⁻³
symmetry: Pmna (53)

Cell lengths 2.5216, 3.7329, 8.1021 Å; angles 90.00, 90.00, 90.00 degrees
Element x y z (fractional)
B1 0.5000 0.5425 0.1806
C1 0.0000 0.9971 0.6612
B2 0.0000 0.0425 0.9861
C2 0.5000 0.4949 0.8135
C3 0.0000 0.2551 0.8135
C4 0.0000 0.9949 0.3532
B3 0.0000 0.2075 0.1806
C5 0.5000 0.7551 0.3532
B4 0.5000 0.7075 0.9861
C6 0.5000 0.4971 0.5054
C7 0.0000 0.2529 0.5054
C8 0.5000 0.7529 0.6612


Which of them is the most stable? Correct choice: run 1.


Run 1
CrIn2Ru after structural relaxation, computed with PBE.

Computed properties:
mass density: 8.97 g cm⁻³
symmetry: P4/mmm (123)

Cell lengths 3.3277, 3.3275, 6.4013 Å; angles 90.00, 90.00, 90.00 degrees
Last column: magnetic moment on the atom in μB.
Element x y z (fractional)
Cr1 0.5000 0.5000 0.7500  3.39
Ru1 0.5000 0.5000 0.2500  0.13
In1 0.0000 0.0000 0.4890  -0.04
In2 0.0000 0.0000 0.0110  -0.04


Run 2
CrIn2Ru after structural relaxation, computed with PBE.

Computed properties:
mass density: 8.73 g cm⁻³
symmetry: C2/m (12)

Cell lengths 4.8341, 4.8341, 5.0967 Å; angles 77.16, 77.16, 38.95 degrees
Last column: magnetic moment on the atom in μB.
Element x y z (fractional)
Cr1 0.7500 0.7500 0.7500  3.31
In1 0.5048 0.5048 0.4910  -0.03
Ru1 0.2500 0.2500 0.2500  -0.03
In2 0.9952 0.9952 0.0090  -0.03


Which of them is the most stable? Correct choice: run 1.